Entry 1:
Computed, not measured: an optimized crystal structure of Pr2NdYS4 at the PBE level of DFT.

Cell: 4.0044 7.0257 7.0659 Å, 108.90 90.00 90.00°
With the nearest neighbours (Å) after each atom.
Atoms (fractional coordinates):
Pr (0.5000, 0.0000, 0.5000)  6 S 2.88
Pr (0.0000, 0.5000, 0.5000)  6 S 2.94
Nd (0.5000, 0.5000, 0.0000)  6 S 2.85-2.86
Y (0.0000, 0.0000, 0.0000)  6 S 2.79
S (0.5000, 0.2386, 0.2365)  2 Y 2.79, 1 Nd 2.86, 3 Pr 2.88-2.94
S (0.5000, 0.7614, 0.7635)  2 Y 2.79, 1 Nd 2.86, 3 Pr 2.88-2.94
S (0.0000, 0.2460, 0.7585)  1 Y 2.79, 2 Nd 2.85, 3 Pr 2.88-2.94
S (0.0000, 0.7540, 0.2415)  1 Y 2.79, 2 Nd 2.85, 3 Pr 2.88-2.94

total magnetic moment = 0.00 μB per cell
calculated volume = 188 Å³/cell
formation energy without anion corrections = -194.2 kJ per mole of atoms
SG = P2/m, No. 10


Entry 2:
Computed, not measured: an optimized crystal structure of Pr3NdY2S6 at the PBE level of DFT.

Cell: 6.9760 6.9760 7.0324 Å, 99.51 99.51 120.14°
With the nearest neighbours (Å) after each atom.
Atoms (fractional coordinates):
Pr (0.1629, 0.8371, 0.5000)  6 S 2.89-2.93
Pr (0.8371, 0.1629, 0.5000)  6 S 2.89-2.93
Pr (0.5000, 0.5000, 0.5000)  6 S 2.87-2.93
Nd (0.0000, 0.0000, 0.0000)  6 S 2.85-2.86
Y (0.3336, 0.6664, 0.0000)  6 S 2.77-2.79
Y (0.6664, 0.3336, 0.0000)  6 S 2.77-2.79
S (0.9207, 0.5788, 0.7619)  2 Y 2.79, 1 Nd 2.86, 3 Pr 2.89-2.93
S (0.7363, 0.7363, 0.2347)  2 Y 2.77, 1 Nd 2.85, 3 Pr 2.87-2.91
S (0.0793, 0.4212, 0.2381)  2 Y 2.79, 1 Nd 2.86, 3 Pr 2.89-2.93
S (0.5788, 0.9207, 0.7619)  2 Y 2.79, 1 Nd 2.86, 3 Pr 2.89-2.93
S (0.2637, 0.2637, 0.7653)  2 Y 2.77, 1 Nd 2.85, 3 Pr 2.87-2.91
S (0.4212, 0.0793, 0.2381)  2 Y 2.79, 1 Nd 2.86, 3 Pr 2.89-2.93

total magnetic moment = 0.00 μB per cell
calculated volume = 279 Å³/cell
formation energy without anion corrections = -194.7 kJ per mole of atoms
SG = C2/m, No. 12


Entry 3:
Computed, not measured: an optimized crystal structure of Pr4NdY3S8 at the PBE level of DFT.

Cell: 8.0214 8.1120 8.0215 Å, 119.63 120.00 90.00°
With the nearest neighbours (Å) after each atom.
Atoms (fractional coordinates):
Pr (0.5000, 0.0000, 0.0000)  6 S 2.87
Pr (0.5000, 0.0000, 0.5000)  6 S 2.93
Pr (0.0000, 0.0000, 0.0000)  6 S 2.93
Pr (0.0000, 0.0000, 0.5000)  6 S 2.93
Nd (0.0000, 0.5000, 0.0000)  6 S 2.84
Y (0.5000, 0.5000, 0.0000)  6 S 2.78
Y (0.5000, 0.5000, 0.5000)  6 S 2.78
Y (0.0000, 0.5000, 0.5000)  6 S 2.78
S (0.2488, 0.7360, 0.9872)  2 Y 2.78, 1 Nd 2.84, 3 Pr 2.87-2.93
S (0.2488, 0.7360, 0.4976)  2 Y 2.78, 1 Nd 2.84, 3 Pr 2.87-2.93
S (0.2562, 0.2686, 0.5124)  3 Y 2.78, 3 Pr 2.93
S (0.7385, 0.7360, 0.9872)  2 Y 2.78, 1 Nd 2.84, 3 Pr 2.87-2.93
S (0.2615, 0.2640, 0.0128)  2 Y 2.78, 1 Nd 2.84, 3 Pr 2.87-2.93
S (0.7438, 0.7314, 0.4876)  3 Y 2.78, 3 Pr 2.93
S (0.7512, 0.2640, 0.5024)  2 Y 2.78, 1 Nd 2.84, 3 Pr 2.87-2.93
S (0.7512, 0.2640, 0.0128)  2 Y 2.78, 1 Nd 2.84, 3 Pr 2.87-2.93

total magnetic moment = 0.00 μB per cell
calculated volume = 371 Å³/cell
formation energy without anion corrections = -194.0 kJ per mole of atoms
SG = R-3m, No. 166


Entry 4:
Computed, not measured: an optimized crystal structure of PrNd2YS4 at the PBE level of DFT.

Cell: 4.0007 7.0436 7.0141 Å, 108.97 90.00 90.00°
With the nearest neighbours (Å) after each atom.
Atoms (fractional coordinates):
Pr (0.0000, 0.0000, 0.0000)  6 S 2.87
Nd (0.5000, 0.0000, 0.5000)  6 S 2.92
Nd (0.0000, 0.5000, 0.5000)  6 S 2.85
Y (0.5000, 0.5000, 0.0000)  6 S 2.80
S (0.5000, 0.2573, 0.2470)  1 Y 2.80, 3 Nd 2.85-2.92, 2 Pr 2.87
S (0.5000, 0.7427, 0.7530)  1 Y 2.80, 3 Nd 2.85-2.92, 2 Pr 2.87
S (0.0000, 0.2614, 0.7593)  2 Y 2.80, 3 Nd 2.85-2.92, 1 Pr 2.87
S (0.0000, 0.7386, 0.2407)  2 Y 2.80, 3 Nd 2.85-2.92, 1 Pr 2.87

total magnetic moment = 0.00 μB per cell
calculated volume = 187 Å³/cell
formation energy without anion corrections = -194.0 kJ per mole of atoms
SG = P2/m, No. 10


Entry 5:
Computed, not measured: an optimized crystal structure of PrNd2Y3S6 at the PBE level of DFT.

Cell: 3.9657 8.0821 8.9708 Å, 104.04 102.77 90.00°
With the nearest neighbours (Å) after each atom.
Atoms (fractional coordinates):
Pr (0.5000, 0.0000, 0.0000)  6 S 2.90
Nd (0.8334, 0.6669, 0.6669)  6 S 2.88-2.89
Nd (0.1666, 0.3331, 0.3331)  6 S 2.88-2.89
Y (0.5000, 0.5000, 0.0000)  6 S 2.76-2.77
Y (0.8337, 0.1668, 0.6674)  6 S 2.76-2.77
Y (0.1663, 0.8332, 0.3326)  6 S 2.76-2.77
S (0.3293, 0.9247, 0.6585)  3 Y 2.76-2.77, 2 Nd 2.89, 1 Pr 2.90
S (0.6635, 0.5917, 0.3271)  3 Y 2.77, 3 Nd 2.88-2.89
S (0.6707, 0.0753, 0.3415)  3 Y 2.76-2.77, 2 Nd 2.89, 1 Pr 2.90
S (0.9969, 0.2605, 0.9938)  3 Y 2.76-2.77, 1 Nd 2.88, 2 Pr 2.90
S (0.0031, 0.7395, 0.0062)  3 Y 2.76-2.77, 1 Nd 2.88, 2 Pr 2.90
S (0.3365, 0.4083, 0.6729)  3 Y 2.77, 3 Nd 2.88-2.89

total magnetic moment = 0.00 μB per cell
calculated volume = 272 Å³/cell
formation energy without anion corrections = -194.5 kJ per mole of atoms
SG = C2/m, No. 12


Entry 6:
Computed, not measured: an optimized crystal structure of Pr2Nd3YS6 at the PBE level of DFT.

Cell: 7.0366 7.0366 7.0190 Å, 99.60 99.60 120.14°
With the nearest neighbours (Å) after each atom.
Atoms (fractional coordinates):
Pr (0.3331, 0.6669, 0.0000)  6 S 2.88-2.90
Pr (0.6669, 0.3331, 0.0000)  6 S 2.88-2.90
Nd (0.1710, 0.8290, 0.5000)  6 S 2.86-2.91
Nd (0.8290, 0.1710, 0.5000)  6 S 2.86-2.91
Nd (0.5000, 0.5000, 0.5000)  6 S 2.86-2.93
Y (0.0000, 0.0000, 0.0000)  6 S 2.80-2.81
S (0.9182, 0.5949, 0.7541)  1 Y 2.80, 3 Nd 2.86-2.91, 2 Pr 2.88
S (0.7602, 0.7602, 0.2497)  1 Y 2.81, 3 Nd 2.88-2.93, 2 Pr 2.90
S (0.0818, 0.4051, 0.2459)  1 Y 2.80, 3 Nd 2.86-2.91, 2 Pr 2.88
S (0.5949, 0.9182, 0.7541)  1 Y 2.80, 3 Nd 2.86-2.91, 2 Pr 2.88
S (0.2398, 0.2398, 0.7503)  1 Y 2.81, 3 Nd 2.88-2.93, 2 Pr 2.90
S (0.4051, 0.0818, 0.2459)  1 Y 2.80, 3 Nd 2.86-2.91, 2 Pr 2.88

total magnetic moment = 0.00 μB per cell
calculated volume = 283 Å³/cell
formation energy without anion corrections = -194.9 kJ per mole of atoms
SG = C2/m, No. 12


Sequential density output: 5.68, 5.57, 5.51, 5.74, 5.43, 5.84 g/cm3